1.
Here is a geometry-optimized KZn2Ga4Ag structure from the Alexandria database. Energies are from PBE.

crystal system = trigonal
E = -2.3508 eV/atom
size of the total moment = 0.0 μB per cell

a b c (Å): 10.6534 10.6534 10.6534
angles (deg): 24.01 24.01 24.01
Closest atoms and distances in Å follow each position.
Sites, in units of the cell vectors:
1 K 0.0000 0.0000 0.0000  6 Ga 3.49
2 Zn 0.2381 0.2381 0.2381  6 Ga 2.62-2.74
3 Zn 0.7619 0.7619 0.7619  6 Ga 2.62-2.74
4 Ga 0.1264 0.1264 0.1264  3 Zn 2.74, 3 Ag 2.85, 3 Ga 2.99
5 Ga 0.4098 0.4098 0.4098  3 Zn 2.62, 1 Ag 2.80
6 Ga 0.5902 0.5902 0.5902  3 Zn 2.62, 1 Ag 2.80
7 Ga 0.8736 0.8736 0.8736  3 Zn 2.74, 3 Ag 2.85, 3 Ga 2.99
8 Ag 0.5000 0.5000 0.5000  8 Ga 2.80-2.85

=====

2.
Here is a geometry-optimized LaGa2Ag2 structure from the Alexandria database. Energies are from PBE.

crystal system = tetragonal
E = -3.5008 eV/atom
size of the total moment = 0.0 μB per cell

a b c (Å): 8.3258 8.3258 3.0055
angles (deg): 90.00 90.00 90.00
Closest atoms and distances in Å follow each position.
Sites, in units of the cell vectors:
1 La 0.0000 0.0000 0.0000  2 La 3.01, 4 Ag 3.31
2 La 0.5000 0.5000 0.0000  2 La 3.01, 4 Ag 3.31
3 Ga 0.1736 0.3264 0.5000  6 Ag 2.84-2.92, 2 Ga 3.01
4 Ga 0.3264 0.8264 0.5000  6 Ag 2.84-2.92, 2 Ga 3.01
5 Ga 0.6736 0.1736 0.5000  6 Ag 2.84-2.92, 2 Ga 3.01
6 Ga 0.8264 0.6736 0.5000  6 Ag 2.84-2.92, 2 Ga 3.01
7 Ag 0.1220 0.6220 0.0000  6 Ga 2.84-2.92, 3 Ag 2.87-3.01
8 Ag 0.3780 0.1220 0.0000  6 Ga 2.84-2.92, 3 Ag 2.87-3.01
9 Ag 0.6220 0.8780 0.0000  6 Ga 2.84-2.92, 3 Ag 2.87-3.01
10 Ag 0.8780 0.3780 0.0000  6 Ga 2.84-2.92, 3 Ag 2.87-3.01

=====

Repeat the second record exactly.
Here is a geometry-optimized LaGa2Ag2 structure from the Alexandria database. Energies are from PBE.

crystal system = tetragonal
E = -3.5008 eV/atom
size of the total moment = 0.0 μB per cell

a b c (Å): 8.3258 8.3258 3.0055
angles (deg): 90.00 90.00 90.00
Closest atoms and distances in Å follow each position.
Sites, in units of the cell vectors:
1 La 0.0000 0.0000 0.0000  2 La 3.01, 4 Ag 3.31
2 La 0.5000 0.5000 0.0000  2 La 3.01, 4 Ag 3.31
3 Ga 0.1736 0.3264 0.5000  6 Ag 2.84-2.92, 2 Ga 3.01
4 Ga 0.3264 0.8264 0.5000  6 Ag 2.84-2.92, 2 Ga 3.01
5 Ga 0.6736 0.1736 0.5000  6 Ag 2.84-2.92, 2 Ga 3.01
6 Ga 0.8264 0.6736 0.5000  6 Ag 2.84-2.92, 2 Ga 3.01
7 Ag 0.1220 0.6220 0.0000  6 Ga 2.84-2.92, 3 Ag 2.87-3.01
8 Ag 0.3780 0.1220 0.0000  6 Ga 2.84-2.92, 3 Ag 2.87-3.01
9 Ag 0.6220 0.8780 0.0000  6 Ga 2.84-2.92, 3 Ag 2.87-3.01
10 Ag 0.8780 0.3780 0.0000  6 Ga 2.84-2.92, 3 Ag 2.87-3.01

=====

Question: Which formula does entry 1 have?
Answer: KZn2Ga4Ag